[1]
Entry from OQMD: an optimized crystal structure of Nd3InO6 (PBE).

a b c (Å): 7.4003 7.4003 5.7165
angles (deg): 90.00 90.00 102.85
Last column: nearest neighbours and their distance in Å.
Fractional coordinates of all 20 atoms:
In: 0.8143 0.1857 0.5137  4 O 2.03-2.10
O: 0.6766 0.6432 0.8092  4 Nd 2.32-2.39
Nd: 0.3001 0.0885 0.5327  5 O 2.32-2.47
O: 0.6432 0.6766 0.3092  4 Nd 2.32-2.39
O: 0.7797 0.2203 0.8626  1 In 2.03
Nd: 0.0885 0.3001 0.0327  5 O 2.32-2.47
O: 0.5723 0.1017 0.3158  1 In 2.09
Nd: 0.3983 0.6017 0.5849  7 O 2.37-2.53
O: 0.2203 0.7797 0.3626  1 In 2.03
O: 0.9733 0.0267 0.3350  1 In 2.10
O: 0.1017 0.5723 0.8158  1 In 2.09
O: 0.3234 0.3568 0.3092  4 Nd 2.32-2.39
Nd: 0.9115 0.6999 0.5327  5 O 2.32-2.47
O: 0.8983 0.4277 0.3158  1 In 2.09
Nd: 0.6999 0.9115 0.0327  5 O 2.32-2.47
O: 0.3568 0.3234 0.8092  4 Nd 2.32-2.39
Nd: 0.6017 0.3983 0.0849  7 O 2.37-2.53
O: 0.0267 0.9733 0.8350  1 In 2.10
In: 0.1857 0.8143 0.0137  4 O 2.03-2.10
O: 0.4277 0.8983 0.8158  1 In 2.09

- Raw total energy: -151.28 eV per cell
- Crystal system: orthorhombic

---

[2]
Entry from OQMD: an optimized crystal structure of NdInO3 (PBE).

a b c (Å): 5.6427 5.9471 8.1830
angles (deg): 90.00 90.00 90.00
Last column: nearest neighbours and their distance in Å.
Fractional coordinates of all 20 atoms:
In: 0.5000 0.0000 0.0000  6 O 2.16-2.19
O: 0.8087 0.8058 0.4341  2 In 2.16-2.18, 1 Nd 2.35
Nd: 0.0199 0.9371 0.7500  4 O 2.32-2.42
In: 0.0000 0.5000 0.0000  6 O 2.16-2.19
O: 0.8724 0.5547 0.7500  2 In 2.19, 2 Nd 2.32-2.42
Nd: 0.9801 0.0629 0.2500  4 O 2.32-2.42
O: 0.3087 0.6942 0.9341  2 In 2.16-2.18, 1 Nd 2.35
In: 0.5000 0.0000 0.5000  6 O 2.16-2.19
Nd: 0.5199 0.5629 0.2500  4 O 2.32-2.42
O: 0.1276 0.4453 0.2500  2 In 2.19, 2 Nd 2.32-2.42
O: 0.3724 0.9453 0.2500  2 In 2.19, 2 Nd 2.32-2.42
O: 0.1913 0.1942 0.5659  2 In 2.16-2.18, 1 Nd 2.35
O: 0.8087 0.8058 0.0659  2 In 2.16-2.18, 1 Nd 2.35
O: 0.6276 0.0547 0.7500  2 In 2.19, 2 Nd 2.32-2.42
O: 0.3087 0.6942 0.5659  2 In 2.16-2.18, 1 Nd 2.35
In: 0.0000 0.5000 0.5000  6 O 2.16-2.19
O: 0.6913 0.3058 0.4341  2 In 2.16-2.18, 1 Nd 2.35
Nd: 0.4801 0.4371 0.7500  4 O 2.32-2.42
O: 0.1913 0.1942 0.9341  2 In 2.16-2.18, 1 Nd 2.35
O: 0.6913 0.3058 0.0659  2 In 2.16-2.18, 1 Nd 2.35

- Raw total energy: -138.60 eV per cell
- Crystal system: orthorhombic

---

- Look up the raw total energy of the second one.
  -138.60 eV per cell

---

- Which value of raw total energy does entry 2 give?
  -138.60 eV per cell

---

- What is the raw total energy in the first record?
  -151.28 eV per cell

---

- Among the records above, which one has the lowest raw total energy?
  Nd3InO6